First-principles (PBE) data for a relaxed structure of Sc2MoPtC, as listed in Alexandria via LeMat-Bulk.

```
5
Lattice="4.483 0.000 0.000 0.000 4.483 0.000 0.000 0.000 4.058" Properties=species:S:1:pos:R:3 pbc="T T T"
C 0.000 0.000 0.000
Sc 2.241 0.000 0.000
Sc 0.000 2.241 0.000
Mo 0.000 0.000 2.029
Pt 2.241 2.241 2.029
```

- Raw total energy: -8.25 eV per atom
- Space-group type: P4/mmm (123)
- ΔE_f: -2.48 eV per formula unit
- DOS(E_F): 0.895 states/eV per atom

---

First-principles (PBE) data for a relaxed structure of SnMoPtC2, as listed in Alexandria via LeMat-Bulk.

```
5
Lattice="3.893 0.000 0.000 0.000 5.784 0.000 0.000 0.000 3.893" Properties=species:S:1:pos:R:3 pbc="T T T"
C 1.947 0.000 0.000
C 0.000 0.000 1.947
Mo 0.000 2.892 0.000
Pt 0.000 0.000 0.000
Sn 1.947 2.892 1.947
```

- Raw total energy: -6.16 eV per atom
- Space-group type: P4/mmm (123)
- ΔE_f: 8.53 eV per formula unit
- DOS(E_F): 0.672 states/eV per atom